The following is a PBE-GGA calculation of crystalline CdSe2Br at its relaxed geometry, from Alexandria via LeMat-Bulk.

abc: 3.862 3.858 8.250
angles: 90.00 90.00 90.00
Fractional positions:
Br 0.000 0.000 0.611
Cd 0.500 0.500 0.742
Se 0.000 0.000 0.087
Se 0.500 0.500 0.060

* theoretical density: 4.7 g/cm³
* formation energy from raw total energies: -0.234 eV per atom
* space-group type: No. 99
* M_tot: 0.00 μB per cell


The following is a PBE-GGA calculation of crystalline CaCd3Ru at its relaxed geometry, from Alexandria via LeMat-Bulk.

abc: 5.171 5.171 5.171
angles: 90.00 90.00 90.00
Fractional positions:
Ru 0.000 0.000 0.000
Ca 0.500 0.500 0.500
Cd 0.000 0.500 0.000
Cd 0.000 0.000 0.500
Cd 0.500 0.000 0.000

* theoretical density: 5.7 g/cm³
* space-group type: No. 221
* M_tot: 0.00 μB per cell
* DFT formation energy: 175 meV/atom


The following is a PBE-GGA calculation of crystalline NaU4Se8 at its relaxed geometry, from Alexandria via LeMat-Bulk.

abc: 8.254 8.254 8.396
angles: 103.84 104.68 119.92
Site moments in Bohr magnetons follow the coordinates.
Fractional positions:
Na 0.000 0.500 0.500  0.00
U 0.248 0.248 0.000  2.26
U 0.752 0.752 0.000  2.26
U 0.258 0.760 0.018  2.25
U 0.742 0.240 0.982  2.25
Se 0.701 0.034 0.215  -0.07
Se 0.181 0.513 0.215  -0.07
Se 0.691 0.515 0.206  -0.07
Se 0.190 0.028 0.218  -0.08
Se 0.810 0.972 0.782  -0.08
Se 0.309 0.485 0.794  -0.07
Se 0.819 0.487 0.785  -0.07
Se 0.299 0.966 0.785  -0.07

* theoretical density: 6.2 g/cm³
* formation energy from raw total energies: -1.159 eV per atom
* space-group type: No. 12
* M_tot: 9.00 μB per cell